ScTaPd2 PBE optimized geometry; total moment = 0.00 μB per formula unit; ΔE_f = 0.089 eV per atom
1.0
-2.568 1.138 3.009
-2.787 -2.710 -1.353
0.818 -7.054 6.182
Pd Ta Sc
4 2 2
Direct
0.118 0.625 0.250
0.632 0.125 0.250
0.375 0.368 0.750
0.875 0.882 0.750
0.750 0.250 0.500
0.000 0.000 0.000
0.250 0.750 0.500
0.500 0.500 0.000